Record 1
Computed, not measured: Ba2GeOs after structural relaxation at the PBE-GGA level of DFT.

a = 11.7785 Å, b = 11.7785 Å, c = 8.6667 Å
α = 47.19°, β = 47.19°, γ = 90.00°
Sites, in units of the cell vectors:
Ge  0.5000  0.5000  0.0000
Ge  0.2500  0.7500  0.5000
Os  0.0000  0.0000  0.0000
Os  0.7500  0.2500  0.5000
Ba  0.8059  0.1250  0.2500
Ba  0.9441  0.6250  0.2500
Ba  0.3750  0.1941  0.7500
Ba  0.8750  0.0559  0.7500

As for the formation energy: 0.11 eV per atom. The density of states at the Fermi level is 3.64 states/eV/f.u.



Record 2
Computed, not measured: Ba3GeOs after structural relaxation at the PBE-GGA level of DFT.

a = 5.8682 Å, b = 5.8682 Å, c = 5.8682 Å
α = 90.00°, β = 90.00°, γ = 90.00°
Last column: magnetic moment on the atom in μB.
Sites, in units of the cell vectors:
Ge  0.5000  0.5000  0.5000  0.34
Os  0.0000  0.0000  0.0000  0.06
Ba  0.0000  0.5000  0.0000  0.01
Ba  0.0000  0.0000  0.5000  0.00
Ba  0.5000  0.0000  0.0000  0.02

As for the formation energy: 0.41 eV per atom. The density of states at the Fermi level is 4.19 states/eV/f.u.



Record 3
Computed, not measured: BaGe3Os after structural relaxation at the PBE-GGA level of DFT.

a = 5.5760 Å, b = 5.5760 Å, c = 5.5760 Å
α = 90.00°, β = 90.00°, γ = 90.00°
Last column: magnetic moment on the atom in μB.
Sites, in units of the cell vectors:
Ge  0.0000  0.5000  0.0000  -0.06
Ge  0.0000  0.0000  0.5000  -0.07
Ge  0.5000  0.0000  0.0000  0.01
Os  0.5000  0.5000  0.5000  2.85
Ba  0.0000  0.0000  0.0000  0.01

As for the formation energy: 2.46 eV per atom. The density of states at the Fermi level is 5.69 states/eV/f.u.



Record 4
Computed, not measured: BaGeOs after structural relaxation at the PBE-GGA level of DFT.

a = 5.2717 Å, b = 4.2978 Å, c = 15.6370 Å
α = 90.00°, β = 105.75°, γ = 90.00°
Sites, in units of the cell vectors:
Ge  0.3477  0.0000  0.5558
Ge  0.6523  0.0000  0.4442
Ge  0.3477  0.5000  0.0558
Ge  0.6523  0.5000  0.9442
Os  0.4692  0.0000  0.7133
Os  0.5308  0.0000  0.2867
Os  0.4692  0.5000  0.2133
Os  0.5308  0.5000  0.7867
Ba  0.0904  0.0000  0.8674
Ba  0.9096  0.0000  0.1326
Ba  0.0904  0.5000  0.3674
Ba  0.9096  0.5000  0.6326

As for the formation energy: -0.03 eV per atom. The density of states at the Fermi level is 1.61 states/eV/f.u.



Record 5
Computed, not measured: BaGeOs after structural relaxation at the PBE-GGA level of DFT.

a = 19.2656 Å, b = 4.1226 Å, c = 4.3011 Å
α = 90.00°, β = 90.00°, γ = 90.00°
Sites, in units of the cell vectors:
Ge  0.0764  0.0000  0.2547
Ge  0.9236  0.0000  0.2547
Ge  0.5764  0.5000  0.7547
Ge  0.4236  0.5000  0.7547
Os  0.0000  0.5000  0.4122
Os  0.5000  0.0000  0.9122
Os  0.0000  0.0000  0.7759
Os  0.5000  0.5000  0.2759
Ba  0.3508  0.0000  0.2816
Ba  0.6492  0.0000  0.2816
Ba  0.8508  0.5000  0.7816
Ba  0.1492  0.5000  0.7816

As for the formation energy: -0.11 eV per atom. The density of states at the Fermi level is 2.20 states/eV/f.u.



Record 6
Computed, not measured: BaGeOs after structural relaxation at the PBE-GGA level of DFT.

a = 4.3955 Å, b = 5.7607 Å, c = 6.7629 Å
α = 90.69°, β = 105.79°, γ = 108.44°
Sites, in units of the cell vectors:
Ba  0.7740  0.7084  0.8368
Ba  0.2260  0.2916  0.1632
Ge  0.5816  0.8745  0.3383
Ge  0.4184  0.1255  0.6617
Os  0.9561  0.3026  0.5603
Os  0.0439  0.6974  0.4397

As for the formation energy: -0.11 eV per atom. The density of states at the Fermi level is 1.51 states/eV/f.u.